[1]
# KNaAs3 PBE optimized geometry
# Energy above the most stable polymorph in this dataset in meV per atom: 799
# M_tot in μB/f.u.: 0.0
data_KNaAs3
_chemical_formula_sum 'K1 Na1 As3'
_cell_length_a 5.201
_cell_length_b 5.201
_cell_length_c 5.201
_cell_angle_alpha 90.00
_cell_angle_beta 90.00
_cell_angle_gamma 90.00
_symmetry_space_group_name_H-M 'P m -3 m'
_symmetry_Int_Tables_number 221
_symmetry_space_group_name_Hall '-P 4 2 3'
loop_
_atom_site_label
_atom_site_fract_x
_atom_site_fract_y
_atom_site_fract_z
_atom_site_occupancy
K1 0.000 0.000 0.000 1
Na1 0.500 0.500 0.500 1
As1 0.000 0.500 0.500 1

=====

[2]
# SmY3Tm5 PBE optimized geometry
# Energy above the most stable polymorph in this dataset in meV per atom: 225
# M_tot in μB/f.u.: 0.0
data_SmY3Tm5
_chemical_formula_sum 'Sm4 Y12 Tm20'
_cell_length_a 15.170
_cell_length_b 11.215
_cell_length_c 10.003
_cell_angle_alpha 90.00
_cell_angle_beta 130.74
_cell_angle_gamma 90.00
_symmetry_space_group_name_H-M 'C 1 2/m 1'
_symmetry_Int_Tables_number 12
loop_
_symmetry_equiv_pos_as_xyz
'x,y,z'
'-x,-y,-z'
'-x,y,-z'
'x,-y,z'
'x+1/2,y+1/2,z'
'-x+1/2,-y+1/2,-z'
'-x+1/2,y+1/2,-z'
'x+1/2,-y+1/2,z'
loop_
_atom_site_label
_atom_site_fract_x
_atom_site_fract_y
_atom_site_fract_z
_atom_site_occupancy
Sm1 0.249 0.000 0.099 1
Y1 0.000 0.000 0.000 1
Y2 0.000 0.500 0.500 1
Y3 0.011 0.000 0.312 1
Y4 0.023 0.500 0.867 1
Tm1 0.000 0.239 0.500 1
Tm2 0.155 0.250 0.256 1
Tm3 0.218 0.000 0.727 1
Tm4 0.222 0.500 0.535 1

=====

[3]
# TlCdCo2Pt PBE optimized geometry
# Final energy in eV/cell: -16.66
# M_tot in μB/f.u.: 3.2
data_TlCdCo2Pt
_chemical_formula_sum 'Tl1 Cd1 Co2 Pt1'
_cell_length_a 4.800
_cell_length_b 4.800
_cell_length_c 5.081
_cell_angle_alpha 90.00
_cell_angle_beta 90.00
_cell_angle_gamma 90.00
_symmetry_space_group_name_H-M 'P 4/m m m'
_symmetry_Int_Tables_number 123
_symmetry_space_group_name_Hall '-P 4 2'
loop_
_atom_site_label
_atom_site_fract_x
_atom_site_fract_y
_atom_site_fract_z
_atom_site_occupancy
Tl1 0.000 0.000 0.000 1
Cd1 0.500 0.500 0.500 1
Co1 0.000 0.500 0.000 1
Pt1 0.000 0.000 0.500 1

=====

[4]
# LiSiIr PBE optimized geometry
# M_tot in μB/f.u.: 0.0
# Formation energy without anion corrections in eV per atom: -0.508
data_LiSiIr
_chemical_formula_sum 'Li1 Si1 Ir1'
_cell_length_a 4.0657
_cell_length_b 4.0657
_cell_length_c 2.9080
_cell_angle_alpha 90.00
_cell_angle_beta 90.00
_cell_angle_gamma 120.00
_symmetry_space_group_name_H-M 'P -6 m 2'
_symmetry_Int_Tables_number 187
_symmetry_space_group_name_Hall 'P -6 2'
loop_
_atom_site_label
_atom_site_fract_x
_atom_site_fract_y
_atom_site_fract_z
_atom_site_occupancy
Li1 0.0000 0.0000 0.0000 1
Si1 0.6667 0.3333 0.5000 1
Ir1 0.3333 0.6667 0.5000 1

=====

[5]
# Li2Dy2YSi2 PBE optimized geometry
# M_tot in μB/f.u.: 0.0
# Formation energy without anion corrections in eV per atom: -0.401
data_Li2Dy2YSi2
_chemical_formula_sum 'Li6 Dy6 Y3 Si6'
_cell_length_a 4.4187
_cell_length_b 4.4187
_cell_length_c 26.5875
_cell_angle_alpha 90.00
_cell_angle_beta 90.00
_cell_angle_gamma 120.00
_symmetry_space_group_name_H-M 'R -3 m'
_symmetry_Int_Tables_number 166
_symmetry_space_group_name_Hall '-R 3 2"'
loop_
_atom_site_label
_atom_site_fract_x
_atom_site_fract_y
_atom_site_fract_z
_atom_site_occupancy
Li1 0.0000 0.0000 0.1017 1
Dy1 0.0000 0.0000 0.3734 1
Y1 0.0000 0.0000 0.5000 1
Si1 0.0000 0.0000 0.2361 1

=====

[6]
# TmNpCd PBE optimized geometry
# Final energy in eV/cell: -70.33
# M_tot in μB/f.u.: 3.1
data_TmNpCd
_chemical_formula_sum 'Tm4 Np4 Cd4'
_cell_length_a 10.522
_cell_length_b 5.313
_cell_length_c 6.625
_cell_angle_alpha 90.00
_cell_angle_beta 125.42
_cell_angle_gamma 90.00
_symmetry_space_group_name_H-M 'C 1 2/m 1'
_symmetry_Int_Tables_number 12
loop_
_symmetry_equiv_pos_as_xyz
'x,y,z'
'-x,-y,-z'
'-x,y,-z'
'x,-y,z'
'x+1/2,y+1/2,z'
'-x+1/2,-y+1/2,-z'
'-x+1/2,y+1/2,-z'
'x+1/2,-y+1/2,z'
loop_
_atom_site_label
_atom_site_fract_x
_atom_site_fract_y
_atom_site_fract_z
_atom_site_occupancy
Tm1 0.018 0.000 0.265 1
Np1 0.128 0.500 0.690 1
Cd1 0.165 0.500 0.208 1

=====

[7]
# Co2SiAu PBE optimized geometry
# M_tot in μB/f.u.: 1.2
# Formation energy without anion corrections in eV per atom: 0.041
data_Co2SiAu
_chemical_formula_sum 'Co4 Si2 Au2'
_cell_length_a 5.316
_cell_length_b 6.879
_cell_length_c 2.784
_cell_angle_alpha 90.00
_cell_angle_beta 90.00
_cell_angle_gamma 90.00
_symmetry_space_group_name_H-M 'C m m m'
_symmetry_Int_Tables_number 65
_symmetry_space_group_name_Hall '-C 2 2'
loop_
_atom_site_label
_atom_site_fract_x
_atom_site_fract_y
_atom_site_fract_z
_atom_site_occupancy
Co1 0.250 0.250 0.000 1
Si1 0.000 0.000 0.500 1
Au1 0.000 0.500 0.500 1

=====

[8]
# CsMgInSn2 PBE optimized geometry
# Final energy in eV/cell: -28.24
# M_tot in μB/f.u.: 0.0
data_CsMgInSn2
_chemical_formula_sum 'Cs2 Mg2 In2 Sn4'
_cell_length_a 5.206
_cell_length_b 5.206
_cell_length_c 12.168
_cell_angle_alpha 90.00
_cell_angle_beta 90.00
_cell_angle_gamma 90.00
_symmetry_space_group_name_H-M 'I -4 m 2'
_symmetry_Int_Tables_number 119
_symmetry_space_group_name_Hall 'I -4 -2'
loop_
_atom_site_label
_atom_site_fract_x
_atom_site_fract_y
_atom_site_fract_z
_atom_site_occupancy
Cs1 0.000 0.000 0.000 1
Mg1 0.000 0.500 0.750 1
In1 0.000 0.500 0.250 1
Sn1 0.000 0.000 0.379 1

=====

[9]
# KIrW2 PBE optimized geometry
# Energy above the most stable polymorph in this dataset in meV per atom: 255
# M_tot in μB/f.u.: 0.0
data_KIrW2
_chemical_formula_sum 'K2 Ir2 W4'
_cell_length_a 9.262
_cell_length_b 2.935
_cell_length_c 7.153
_cell_angle_alpha 90.00
_cell_angle_beta 98.61
_cell_angle_gamma 90.00
_symmetry_space_group_name_H-M 'C 1 m 1'
_symmetry_Int_Tables_number 8
loop_
_symmetry_equiv_pos_as_xyz
'x,y,z'
'x,-y,z'
'x+1/2,y+1/2,z'
'x+1/2,-y+1/2,z'
loop_
_atom_site_label
_atom_site_fract_x
_atom_site_fract_y
_atom_site_fract_z
_atom_site_occupancy
K1 0.000 0.000 0.000 1
Ir1 0.228 0.000 0.647 1
W1 0.002 0.500 0.520 1
W2 0.292 0.500 0.371 1

=====

[10]
# SrRhPb4 PBE optimized geometry
# Energy above the most stable polymorph in this dataset in meV per atom: 511
# M_tot in μB/f.u.: 0.0
data_SrRhPb4
_chemical_formula_sum 'Sr4 Rh4 Pb16'
_cell_length_a 9.024
_cell_length_b 9.024
_cell_length_c 9.024
_cell_angle_alpha 90.00
_cell_angle_beta 90.00
_cell_angle_gamma 90.00
_symmetry_space_group_name_H-M 'F -4 3 m'
_symmetry_Int_Tables_number 216
_symmetry_space_group_name_Hall 'F -4 2 3'
loop_
_atom_site_label
_atom_site_fract_x
_atom_site_fract_y
_atom_site_fract_z
_atom_site_occupancy
Sr1 0.000 0.000 0.000 1
Rh1 0.250 0.250 0.250 1
Pb1 0.124 0.124 0.624 1

=====

[11]
# OsWCl2 PBE optimized geometry
# Energy above the most stable polymorph in this dataset in meV per atom: 673
# M_tot in μB/f.u.: 1.3
# Formation energy without anion corrections in eV per atom: 0.551
data_OsWCl2
_chemical_formula_sum 'Os2 W2 Cl4'
_cell_length_a 2.897
_cell_length_b 4.547
_cell_length_c 14.350
_cell_angle_alpha 90.00
_cell_angle_beta 90.00
_cell_angle_gamma 90.00
_symmetry_space_group_name_H-M 'I m m m'
_symmetry_Int_Tables_number 71
_symmetry_space_group_name_Hall '-I 2 2'
loop_
_atom_site_label
_atom_site_fract_x
_atom_site_fract_y
_atom_site_fract_z
_atom_site_occupancy
Os1 0.000 0.000 0.000 1
W1 0.000 0.000 0.500 1
Cl1 0.000 0.500 0.142 1

=====

[12]
# Sc2CdPt3 PBE optimized geometry
# Final energy in eV/cell: -37.64
# M_tot in μB/f.u.: 0.0
data_Sc2CdPt3
_chemical_formula_sum 'Sc2 Cd1 Pt3'
_cell_length_a 3.288
_cell_length_b 3.288
_cell_length_c 9.970
_cell_angle_alpha 90.00
_cell_angle_beta 90.00
_cell_angle_gamma 90.00
_symmetry_space_group_name_H-M 'P 4/m m m'
_symmetry_Int_Tables_number 123
_symmetry_space_group_name_Hall '-P 4 2'
loop_
_atom_site_label
_atom_site_fract_x
_atom_site_fract_y
_atom_site_fract_z
_atom_site_occupancy
Sc1 0.000 0.000 0.169 1
Cd1 0.000 0.000 0.500 1
Pt1 0.500 0.500 0.000 1
Pt2 0.500 0.500 0.320 1

=====

[13]
# Ti2NbTcP PBE optimized geometry
# Final energy in eV/cell: -35.11
# M_tot in μB/f.u.: 0.4
data_Ti2NbTcP
_chemical_formula_sum 'Ti2 Nb1 Tc1 P1'
_cell_length_a 4.799
_cell_length_b 4.799
_cell_length_c 4.608
_cell_angle_alpha 90.00
_cell_angle_beta 90.00
_cell_angle_gamma 90.00
_symmetry_space_group_name_H-M 'P 4/m m m'
_symmetry_Int_Tables_number 123
_symmetry_space_group_name_Hall '-P 4 2'
loop_
_atom_site_label
_atom_site_fract_x
_atom_site_fract_y
_atom_site_fract_z
_atom_site_occupancy
Ti1 0.000 0.500 0.000 1
Nb1 0.000 0.000 0.000 1
Tc1 0.000 0.000 0.500 1
P1 0.500 0.500 0.500 1

=====

[14]
# Sm2Zn12CdCu3 PBE optimized geometry
# Final energy in eV/cell: -101.13
# M_tot in μB/f.u.: 0.0
data_Sm2Zn12CdCu3
_chemical_formula_sum 'Sm6 Zn36 Cd3 Cu9'
_cell_length_a 8.0818
_cell_length_b 8.0818
_cell_length_c 21.1287
_cell_angle_alpha 90.00
_cell_angle_beta 90.00
_cell_angle_gamma 120.00
_symmetry_space_group_name_H-M 'R -3 m'
_symmetry_Int_Tables_number 166
_symmetry_space_group_name_Hall '-R 3 2"'
loop_
_atom_site_label
_atom_site_fract_x
_atom_site_fract_y
_atom_site_fract_z
_atom_site_occupancy
Sm1 0.0000 0.0000 0.1001 1
Zn1 0.0098 0.5049 0.3514 1
Zn2 0.0963 0.5482 0.8875 1
Cd1 0.0000 0.0000 0.5000 1
Cu1 0.0000 0.5000 0.0000 1

=====

[15]
# Cs3ZnPb PBE optimized geometry
# Energy above the most stable polymorph in this dataset in meV per atom: 178
# M_tot in μB/f.u.: 0.0
data_Cs3ZnPb
_chemical_formula_sum 'Cs3 Zn1 Pb1'
_cell_length_a 7.586
_cell_length_b 7.586
_cell_length_c 7.586
_cell_angle_alpha 90.00
_cell_angle_beta 90.00
_cell_angle_gamma 90.00
_symmetry_space_group_name_H-M 'P m -3 m'
_symmetry_Int_Tables_number 221
_symmetry_space_group_name_Hall '-P 4 2 3'
loop_
_atom_site_label
_atom_site_fract_x
_atom_site_fract_y
_atom_site_fract_z
_atom_site_occupancy
Cs1 0.000 0.000 0.500 1
Zn1 0.500 0.500 0.500 1
Pb1 0.000 0.000 0.000 1

=====

[16]
# Dy2Ni4AsP3 PBE optimized geometry
# Final energy in eV/cell: -62.50
# M_tot in μB/f.u.: 0.0
data_Dy2Ni4AsP3
_chemical_formula_sum 'Dy2 Ni4 As1 P3'
_cell_length_a 4.008
_cell_length_b 4.008
_cell_length_c 9.213
_cell_angle_alpha 90.00
_cell_angle_beta 90.00
_cell_angle_gamma 90.00
_symmetry_space_group_name_H-M 'P -4 m 2'
_symmetry_Int_Tables_number 115
loop_
_symmetry_equiv_pos_as_xyz
'x,y,z'
'y,-x,-z'
'-x,-y,z'
'-y,x,-z'
'-x,y,z'
'-y,-x,-z'
'x,-y,z'
'y,x,-z'
loop_
_atom_site_label
_atom_site_fract_x
_atom_site_fract_y
_atom_site_fract_z
_atom_site_occupancy
Dy1 0.000 0.500 0.245 1
Ni1 0.000 0.000 0.000 1
Ni2 0.000 0.500 0.628 1
Ni3 0.500 0.500 0.000 1
As1 0.000 0.000 0.500 1
P1 0.000 0.500 0.872 1
P2 0.500 0.500 0.500 1

=====

[17]
# DySi2Ir2 PBE optimized geometry
# M_tot in μB/f.u.: 0.3
# Formation energy without anion corrections in eV per atom: -0.011
data_DySi2Ir2
_chemical_formula_sum 'Dy2 Si4 Ir4'
_cell_length_a 4.011
_cell_length_b 4.011
_cell_length_c 16.625
_cell_angle_alpha 90.00
_cell_angle_beta 90.00
_cell_angle_gamma 90.00
_symmetry_space_group_name_H-M 'I 4/m m m'
_symmetry_Int_Tables_number 139
_symmetry_space_group_name_Hall '-I 4 2'
loop_
_atom_site_label
_atom_site_fract_x
_atom_site_fract_y
_atom_site_fract_z
_atom_site_occupancy
Dy1 0.000 0.000 0.000 1
Si1 0.000 0.000 0.175 1
Ir1 0.000 0.500 0.250 1

=====

[18]
# Rb2MgCd5 PBE optimized geometry
# Final energy in eV/cell: -16.38
# M_tot in μB/f.u.: 0.0
data_Rb2MgCd5
_chemical_formula_sum 'Rb4 Mg2 Cd10'
_cell_length_a 9.909
_cell_length_b 10.448
_cell_length_c 7.152
_cell_angle_alpha 90.00
_cell_angle_beta 133.44
_cell_angle_gamma 90.00
_symmetry_space_group_name_H-M 'C 1 m 1'
_symmetry_Int_Tables_number 8
loop_
_symmetry_equiv_pos_as_xyz
'x,y,z'
'x,-y,z'
'x+1/2,y+1/2,z'
'x+1/2,-y+1/2,z'
loop_
_atom_site_label
_atom_site_fract_x
_atom_site_fract_y
_atom_site_fract_z
_atom_site_occupancy
Rb1 0.000 0.181 0.000 1
Mg1 0.496 0.000 0.289 1
Cd1 0.000 0.251 0.500 1
Cd2 0.008 0.500 0.720 1
Cd3 0.207 0.000 0.718 1
Cd4 0.296 0.500 0.292 1

=====

[19]
# AlInGaPb PBE optimized geometry
# Final energy in eV/cell: -50.36
# M_tot in μB/f.u.: 0.0
data_AlInGaPb
_chemical_formula_sum 'Al4 In4 Ga4 Pb4'
_cell_length_a 7.283
_cell_length_b 7.283
_cell_length_c 7.283
_cell_angle_alpha 90.00
_cell_angle_beta 90.00
_cell_angle_gamma 90.00
_symmetry_space_group_name_H-M 'F -4 3 m'
_symmetry_Int_Tables_number 216
_symmetry_space_group_name_Hall 'F -4 2 3'
loop_
_atom_site_label
_atom_site_fract_x
_atom_site_fract_y
_atom_site_fract_z
_atom_site_occupancy
Al1 0.000 0.000 0.000 1
In1 0.250 0.250 0.250 1
Ga1 0.000 0.000 0.500 1
Pb1 0.250 0.250 0.750 1

=====

[20]
# CaLa2Se PBE optimized geometry
# M_tot in μB/f.u.: 0.0
# Formation energy without anion corrections in eV per atom: -0.750
data_CaLa2Se
_chemical_formula_sum 'Ca1 La2 Se1'
_cell_length_a 3.684
_cell_length_b 3.684
_cell_length_c 9.454
_cell_angle_alpha 90.00
_cell_angle_beta 90.00
_cell_angle_gamma 90.00
_symmetry_space_group_name_H-M 'P 4 m m'
_symmetry_Int_Tables_number 99
loop_
_symmetry_equiv_pos_as_xyz
'x,y,z'
'-y,x,z'
'-x,-y,z'
'y,-x,z'
'-x,y,z'
'y,x,z'
'x,-y,z'
'-y,-x,z'
loop_
_atom_site_label
_atom_site_fract_x
_atom_site_fract_y
_atom_site_fract_z
_atom_site_occupancy
Ca1 0.000 0.000 0.000 1
La1 0.000 0.000 0.617 1
La2 0.500 0.500 0.314 1
Se1 0.500 0.500 0.824 1